Below is an optimized crystal structure of Dy5Tl3Hg, with properties calculated at the PBE level.

Structure (POSCAR):
```
Dy5Tl3Hg
1.0
9.230 0.000 0.000
-4.615 7.994 0.000
0.000 0.000 6.753
Dy Tl Hg
10 6 2
direct
0.000 0.282 0.250
0.000 0.718 0.750
0.282 0.000 0.250
0.282 0.282 0.750
0.333 0.667 0.000
0.333 0.667 0.500
0.667 0.333 0.000
0.667 0.333 0.500
0.718 0.000 0.750
0.718 0.718 0.250
0.000 0.378 0.750
0.000 0.622 0.250
0.378 0.000 0.750
0.378 0.378 0.250
0.622 0.000 0.250
0.622 0.622 0.750
0.000 0.000 0.000
0.000 0.000 0.500
```

Properties
Its magnetization is 0.04 Bohr magnetons per cell. As for the crystal system: hexagonal. As for the volume: 498.2 Å³ per cell. As for the symmetry: No. 193. Its total energy is -3.75 eV per atom.

Below is an optimized crystal structure of Dy3TlHg5, with properties calculated at the PBE level.

Structure (POSCAR):
```
Dy3TlHg5
1.0
8.963 0.000 0.000
-4.482 7.762 0.000
0.000 0.000 6.378
Dy Tl Hg
6 2 10
direct
0.000 0.336 0.250
0.000 0.664 0.750
0.336 0.000 0.250
0.336 0.336 0.750
0.664 0.000 0.750
0.664 0.664 0.250
0.000 0.000 0.000
0.000 0.000 0.500
0.000 0.335 0.750
0.000 0.665 0.250
0.333 0.667 0.000
0.333 0.667 0.500
0.335 0.000 0.750
0.335 0.335 0.250
0.665 0.000 0.250
0.665 0.665 0.750
0.667 0.333 0.000
0.667 0.333 0.500
```

Properties
Its magnetization is 0.02 Bohr magnetons per cell. As for the crystal system: hexagonal. As for the volume: 443.7 Å³ per cell. As for the symmetry: No. 193. Its total energy is -2.35 eV per atom.

Below is an optimized crystal structure of Dy2Tm3Hg3, with properties calculated at the PBE level.

Structure (POSCAR):
```
Dy2Tm3Hg3
1.0
6.527 0.000 0.000
0.000 5.293 0.000
-2.450 0.000 6.063
Dy Tm Hg
2 3 3
direct
0.000 0.000 0.000
0.250 0.500 0.637
0.463 0.000 0.931
0.532 0.000 0.454
0.765 0.500 0.217
0.010 0.000 0.485
0.279 0.500 0.141
0.749 0.500 0.730
```

Properties
Its magnetization is 0.02 Bohr magnetons per cell. As for the crystal system: monoclinic. Its excess energy over the best structure of this formula in the dataset is 0.000 eV/atom. As for the volume: 209.5 Å³ per cell. The calculation puts the energy of formation from the pure elements at -0.275 eV per atom. As for the symmetry: No. 6. Its total energy is -3.22 eV per atom.